Material: SmDyZn
Method: DFT, PBE
State: relaxed

a b c (Å): 4.975 7.093 9.971
angles (deg): 90.00 90.00 90.00
Atoms (fractional coordinates):
Zn  0.250  0.248  0.125
Dy  0.750  0.502  0.621
Sm  0.750  0.498  0.130
Dy  0.250  0.002  0.879
Dy  0.250  0.498  0.379
Sm  0.250  0.502  0.870
Sm  0.750  0.002  0.630
Zn  0.750  0.748  0.375
Dy  0.750  0.998  0.121
Sm  0.250  0.998  0.370
Zn  0.750  0.752  0.875
Zn  0.250  0.252  0.625

- N(E_F) (states/eV/atom) = 1.46
- relative energy among the computed polymorphs (eV/atom) = 0.235
- DFT formation energy (eV/atom) = 0.028
- electronic total energy (eV per cell) = -42.0

---

Material: SmDy3Zn4
Method: DFT, PBE
State: relaxed

a b c (Å): 5.053 7.219 10.104
angles (deg): 90.00 90.00 90.00
Atoms (fractional coordinates):
Dy  0.500  0.000  0.250
Sm  0.000  0.500  0.000
Sm  0.000  0.500  0.500
Zn  0.500  0.755  0.000
Zn  0.500  0.245  0.000
Dy  0.000  0.000  0.500
Zn  0.000  0.755  0.750
Zn  0.500  0.245  0.500
Dy  0.000  0.000  0.000
Dy  0.500  0.500  0.250
Dy  0.500  0.500  0.750
Zn  0.000  0.755  0.250
Zn  0.000  0.245  0.750
Zn  0.000  0.245  0.250
Zn  0.500  0.755  0.500
Dy  0.500  0.000  0.750

- N(E_F) (states/eV/atom) = 1.16
- DFT formation energy (eV/atom) = -0.334
- electronic total energy (eV per cell) = -52.6

---

Material: Sm2DyZn
Method: DFT, PBE
State: relaxed

a b c (Å): 3.752 5.467 5.467
angles (deg): 90.00 90.00 90.00
Atoms (fractional coordinates):
Dy  0.500  0.500  0.500
Sm  0.000  0.500  0.000
Zn  0.500  0.000  0.000
Sm  0.000  0.000  0.500

- N(E_F) (states/eV/atom) = 1.13
- relative energy among the computed polymorphs (eV/atom) = 0.134
- DFT formation energy (eV/atom) = -0.014
- electronic total energy (eV per cell) = -15.4

---

Material: SmDy6Zn2
Method: DFT, PBE
State: relaxed

a b c (Å): 3.631 6.483 11.521
angles (deg): 75.83 80.93 73.74
Atoms (fractional coordinates):
Dy  0.690  0.494  0.126
Dy  0.313  0.786  0.588
Zn  0.350  0.091  0.209
Zn  0.650  0.909  0.791
Dy  0.310  0.506  0.874
Dy  0.687  0.214  0.412
Sm  0.000  0.000  0.000
Dy  0.977  0.714  0.332
Dy  0.023  0.286  0.668

- N(E_F) (states/eV/atom) = 1.14
- relative energy among the computed polymorphs (eV/atom) = 0.000
- DFT formation energy (eV/atom) = -0.141
- electronic total energy (eV per cell) = -36.2

---

Material: SmDyZn4
Method: DFT, PBE
State: relaxed

a b c (Å): 5.495 5.495 5.495
angles (deg): 60.00 60.00 60.00
Atoms (fractional coordinates):
Zn  0.625  0.625  0.625
Zn  0.125  0.625  0.625
Dy  0.000  0.000  0.000
Sm  0.250  0.250  0.250
Zn  0.625  0.625  0.125
Zn  0.625  0.125  0.625

- N(E_F) (states/eV/atom) = 0.24
- relative energy among the computed polymorphs (eV/atom) = 0.032
- DFT formation energy (eV/atom) = -0.333
- electronic total energy (eV per cell) = -16.4

---

Material: Sm2DyZn
Method: DFT, PBE
State: relaxed

a b c (Å): 3.607 3.607 10.701
angles (deg): 80.30 80.30 60.00
Atoms (fractional coordinates):
Zn  0.000  0.000  0.000
Dy  0.500  0.500  0.500
Sm  0.740  0.740  0.780
Sm  0.260  0.260  0.220

- N(E_F) (states/eV/atom) = 1.01
- relative energy among the computed polymorphs (eV/atom) = 0.113
- DFT formation energy (eV/atom) = -0.035
- electronic total energy (eV per cell) = -15.5

---

Material: Sm2DyZn
Method: DFT, PBE
State: relaxed

a b c (Å): 5.400 5.400 5.400
angles (deg): 60.00 60.00 60.00
Atoms (fractional coordinates):
Zn  0.500  0.500  0.500
Sm  0.750  0.750  0.750
Dy  0.000  0.000  0.000
Sm  0.250  0.250  0.250

- N(E_F) (states/eV/atom) = 1.28
- relative energy among the computed polymorphs (eV/atom) = 0.187
- DFT formation energy (eV/atom) = 0.039
- electronic total energy (eV per cell) = -15.2

---

Material: Sm5DyZn6
Method: DFT, PBE
State: relaxed

a b c (Å): 5.121 7.268 8.118
angles (deg): 90.00 71.44 90.00
Atoms (fractional coordinates):
Zn  0.164  0.753  0.671
Sm  0.333  0.500  0.335
Sm  0.000  0.500  0.000
Zn  0.500  0.755  0.000
Zn  0.836  0.247  0.329
Zn  0.836  0.753  0.329
Zn  0.500  0.245  0.000
Dy  0.000  0.000  0.000
Sm  0.667  0.500  0.665
Sm  0.666  0.000  0.668
Sm  0.334  0.000  0.332
Zn  0.164  0.247  0.671

- N(E_F) (states/eV/atom) = 1.14
- DFT formation energy (eV/atom) = -0.321
- electronic total energy (eV per cell) = -39.7

---

Material: Sm3DyZn
Method: DFT, PBE
State: relaxed

a b c (Å): 7.424 7.424 7.538
angles (deg): 104.85 116.37 106.79
Atoms (fractional coordinates):
Zn  0.633  0.762  0.395
Sm  0.269  0.550  0.819
Dy  0.301  0.930  0.231
Sm  0.777  0.591  0.754
Sm  0.163  0.977  0.754
Sm  0.731  0.450  0.181
Sm  0.837  0.023  0.246
Dy  0.699  0.070  0.769
Sm  0.223  0.409  0.246
Zn  0.367  0.238  0.605

- N(E_F) (states/eV/atom) = 1.59
- DFT formation energy (eV/atom) = 0.064
- electronic total energy (eV per cell) = -39.4

---

Material: SmDyZn
Method: DFT, PBE
State: relaxed

a b c (Å): 3.615 3.615 6.642
angles (deg): 105.79 105.79 90.00
Atoms (fractional coordinates):
Zn  0.662  0.662  0.324
Dy  0.025  0.025  0.049
Sm  0.313  0.313  0.627

- N(E_F) (states/eV/atom) = 1.27
- relative energy among the computed polymorphs (eV/atom) = 0.000
- DFT formation energy (eV/atom) = -0.206
- electronic total energy (eV per cell) = -11.2

---

Material: Sm2DyZn
Method: DFT, PBE
State: relaxed

a b c (Å): 3.637 3.637 10.606
angles (deg): 80.13 80.13 60.00
Atoms (fractional coordinates):
Zn  0.666  0.666  0.001
Sm  0.260  0.260  0.219
Sm  0.073  0.073  0.781
Dy  0.500  0.500  0.500

- N(E_F) (states/eV/atom) = 1.31
- relative energy among the computed polymorphs (eV/atom) = 0.115
- DFT formation energy (eV/atom) = -0.033
- electronic total energy (eV per cell) = -15.4

---

Material: Sm4Dy3Zn4
Method: DFT, PBE
State: relaxed

a b c (Å): 5.113 6.945 9.330
angles (deg): 111.85 105.90 90.00
Atoms (fractional coordinates):
Sm  0.678  0.447  0.356
Zn  0.500  0.816  0.000
Dy  0.099  0.099  0.197
Zn  0.500  0.184  0.000
Sm  0.322  0.090  0.644
Zn  0.177  0.677  0.354
Sm  0.322  0.553  0.644
Zn  0.823  0.323  0.646
Sm  0.678  0.910  0.356
Dy  0.000  0.500  0.000
Dy  0.901  0.901  0.803

- N(E_F) (states/eV/atom) = 0.99
- DFT formation energy (eV/atom) = -0.100
- electronic total energy (eV per cell) = -38.9